Here is a PBEsol-optimized structure of MoPS2Cl from the Alexandria database. Energies are from meta-GGA SCAN.

abc: 4.5691 4.4029 4.4029
angles: 90.00 90.00 90.00
With the nearest neighbours (Å) after each atom.
Atoms (fractional coordinates):
P 0.5000 0.0000 0.0000  2 Cl 2.28
Mo 0.5000 0.5000 0.5000  4 P 3.11, 8 S 3.17
S 0.0000 0.0000 0.5000  2 Cl 2.20
S 0.0000 0.5000 0.0000  2 Cl 2.20
Cl 0.0000 0.0000 0.0000  4 S 2.20, 2 P 2.28

Uncorrected formation energy: 1490 meV per atom


Here is a PBEsol-optimized structure of SbMoPCl2 from the Alexandria database. Energies are from meta-GGA SCAN.

abc: 4.6306 4.6306 4.9204
angles: 90.00 90.00 90.00
With the nearest neighbours (Å) after each atom.
Atoms (fractional coordinates):
Sb 0.5000 0.5000 0.5000  4 P 3.27, 8 Cl 3.38
Mo 0.0000 0.0000 0.0000  4 Cl 2.32, 2 P 2.46
P 0.0000 0.0000 0.5000  2 Mo 2.46
Cl 0.0000 0.5000 0.0000  2 Mo 2.32
Cl 0.5000 0.0000 0.0000  2 Mo 2.32

Uncorrected formation energy: 206 meV per atom


Here is a PBEsol-optimized structure of MoP2SeCl from the Alexandria database. Energies are from meta-GGA SCAN.

abc: 4.4882 4.7276 4.7276
angles: 90.00 90.00 90.00
With the nearest neighbours (Å) after each atom.
Atoms (fractional coordinates):
P 0.0000 0.0000 0.5000  2 Mo 2.36
P 0.0000 0.5000 0.0000  2 Mo 2.36
Mo 0.0000 0.0000 0.0000  2 Cl 2.24, 4 P 2.36
Se 0.5000 0.5000 0.5000  8 P 3.26, 4 Cl 3.34
Cl 0.5000 0.0000 0.0000  2 Mo 2.24

Uncorrected formation energy: 451 meV per atom


> Number 2 is which compound?

SbMoPCl2